[1]
DFT (PBE-GGA) results for a geometry-optimized La2YHo2 structure.

## Properties
For the distance to the lowest polymorph of the same formula, the calculation gives 259 meV/atom. For the total energy, the calculation gives -4.81 eV/atom.

abc: 8.8892 8.8892 6.3311
angles: 90.00 90.00 134.35
Last column: nearest neighbours and their distance in Å.
Atoms (fractional coordinates):
1 La 0.1004 0.8996 0.7500  2 La 3.63, 4 Ho 3.82
2 La 0.3312 0.6688 0.2500  2 Ho 3.18, 2 Y 3.19
3 La 0.6688 0.3312 0.7500  2 Ho 3.18, 2 Y 3.19
4 La 0.8996 0.1004 0.2500  2 La 3.63, 4 Ho 3.82
5 Y 0.5000 0.5000 0.0000  2 Y 3.17, 2 La 3.19
6 Y 0.5000 0.5000 0.5000  2 Y 3.17, 2 La 3.19
7 Ho 0.0892 0.4314 0.7500  1 La 3.18, 1 Ho 3.31
8 Ho 0.4314 0.0892 0.2500  1 La 3.18, 1 Ho 3.31
9 Ho 0.5686 0.9108 0.7500  1 La 3.18, 1 Ho 3.31
10 Ho 0.9108 0.5686 0.2500  1 La 3.18, 1 Ho 3.31

=====

[2]
DFT (PBE-GGA) results for a geometry-optimized La7Y2Ho2 structure.

## Properties
For the distance to the lowest polymorph of the same formula, the calculation gives 7 meV/atom. For the total energy, the calculation gives -5.02 eV/atom.

abc: 5.8488 7.0752 9.6467
angles: 97.34 90.03 90.04
Last column: nearest neighbours and their distance in Å.
Atoms (fractional coordinates):
1 La 0.0000 0.0000 0.0000  4 Y 3.50, 2 La 3.78
2 La 0.9997 0.4491 0.8261  3 La 3.34-3.38, 2 Ho 3.65, 2 Y 3.73-3.74
3 La 0.0003 0.5509 0.1739  3 La 3.34-3.38, 2 Ho 3.65, 2 Y 3.73-3.74
4 La 0.4991 0.9897 0.3100  2 La 3.28-3.65, 2 Y 3.45-3.66, 2 Ho 3.66
5 La 0.4998 0.4647 0.6524  4 La 3.04-3.38
6 La 0.5002 0.5353 0.3476  4 La 3.04-3.38
7 La 0.5009 0.0103 0.6900  2 La 3.28-3.65, 2 Y 3.45-3.66, 2 Ho 3.66
8 Y 0.5004 0.2728 0.0173  1 Y 3.27, 5 La 3.45-3.66
9 Y 0.4996 0.7272 0.9827  1 Y 3.27, 5 La 3.45-3.66
10 Ho 0.0006 0.7459 0.5432  2 Ho 3.47-3.79, 8 La 3.65-3.77
11 Ho 0.9994 0.2541 0.4568  2 Ho 3.47-3.79, 8 La 3.65-3.77

=====

[3]
DFT (PBE-GGA) results for a geometry-optimized La2Y6Ho3 structure.

## Properties
For the distance to the lowest polymorph of the same formula, the calculation gives 95 meV/atom. For the total energy, the calculation gives -5.39 eV/atom.

abc: 17.2636 17.2636 17.2636
angles: 164.16 164.16 22.47
Last column: nearest neighbours and their distance in Å.
Atoms (fractional coordinates):
1 La 0.0454 0.0454 0.0000  1 La 3.07
2 La 0.9546 0.9546 0.0000  1 La 3.07
3 Y 0.1237 0.6237 0.5000  6 Y 3.36-3.48, 2 Ho 3.51, 2 La 3.56
4 Y 0.1988 0.1988 0.0000  5 Ho 3.36-3.42, 4 Y 3.48
5 Y 0.3763 0.8763 0.5000  6 Y 3.36-3.48, 2 Ho 3.51, 2 La 3.56
6 Y 0.6237 0.1237 0.5000  6 Y 3.36-3.48, 2 Ho 3.51, 2 La 3.56
7 Y 0.8012 0.8012 0.0000  5 Ho 3.36-3.42, 4 Y 3.48
8 Y 0.8763 0.3763 0.5000  6 Y 3.36-3.48, 2 Ho 3.51, 2 La 3.56
9 Ho 0.2999 0.2999 0.0000  9 Y 3.36-3.51
10 Ho 0.5000 0.5000 0.0000  8 La 3.70
11 Ho 0.7001 0.7001 0.0000  9 Y 3.36-3.51

=====

[4]
DFT (PBE-GGA) results for a geometry-optimized La4Y4Ho structure.

## Properties
For the total energy, the calculation gives -5.54 eV/atom.

abc: 8.1406 8.1406 8.1406
angles: 95.84 95.84 142.80
Last column: nearest neighbours and their distance in Å.
Atoms (fractional coordinates):
1 La 0.0000 0.3327 0.3327  1 Ho 3.63, 6 Y 3.65-3.67, 5 La 3.65-3.66
2 La 0.0000 0.6673 0.6673  1 Ho 3.63, 6 Y 3.65-3.67, 5 La 3.65-3.66
3 La 0.3327 0.0000 0.3327  1 Ho 3.63, 6 Y 3.65-3.67, 5 La 3.65-3.66
4 La 0.6673 0.0000 0.6673  1 Ho 3.63, 6 Y 3.65-3.67, 5 La 3.65-3.66
5 Y 0.3360 0.3360 0.6719  4 Y 3.58-3.71, 2 Ho 3.63, 6 La 3.65-3.67
6 Y 0.3360 0.6640 0.0000  4 Y 3.58-3.71, 2 Ho 3.63, 6 La 3.65-3.67
7 Y 0.6640 0.3360 0.0000  4 Y 3.58-3.71, 2 Ho 3.63, 6 La 3.65-3.67
8 Y 0.6640 0.6640 0.3281  4 Y 3.58-3.71, 2 Ho 3.63, 6 La 3.65-3.67
9 Ho 0.0000 0.0000 0.0000  8 Y 3.63, 4 La 3.63

=====

[5]
DFT (PBE-GGA) results for a geometry-optimized La4YHo3 structure.

## Properties
For the total energy, the calculation gives -4.96 eV/atom.

abc: 5.1556 10.3126 10.2677
angles: 90.00 90.00 90.00
Last column: nearest neighbours and their distance in Å.
Atoms (fractional coordinates):
1 La 0.2500 0.9995 0.1274  8 La 3.64-3.68, 3 Ho 3.67-3.68, 1 Y 3.69
2 La 0.2500 0.2500 0.8715  8 La 3.64-3.68, 4 Ho 3.67-3.68
3 La 0.2500 0.5005 0.1274  8 La 3.64-3.68, 3 Ho 3.67-3.68, 1 Y 3.69
4 La 0.2500 0.7500 0.8736  8 La 3.65-3.67, 2 Ho 3.69, 2 Y 3.69
5 La 0.7500 0.0005 0.8726  8 La 3.64-3.68, 3 Ho 3.67-3.68, 1 Y 3.69
6 La 0.7500 0.2500 0.1264  8 La 3.65-3.67, 2 Ho 3.69, 2 Y 3.69
7 La 0.7500 0.4995 0.8726  8 La 3.64-3.68, 3 Ho 3.67-3.68, 1 Y 3.69
8 La 0.7500 0.7500 0.1285  8 La 3.64-3.68, 4 Ho 3.67-3.68
9 Y 0.2500 0.2500 0.3838  8 Ho 3.52-3.65, 4 La 3.69
10 Y 0.7500 0.7500 0.6162  8 Ho 3.52-3.65, 4 La 3.69
11 Ho 0.2500 0.9999 0.6165  3 Y 3.52-3.65, 5 Ho 3.52-3.65, 4 La 3.68-3.69
12 Ho 0.2500 0.5001 0.6165  3 Y 3.52-3.65, 5 Ho 3.52-3.65, 4 La 3.68-3.69
13 Ho 0.2500 0.7500 0.3829  2 Y 3.52, 6 Ho 3.52-3.65, 4 La 3.67
14 Ho 0.7500 0.0001 0.3835  3 Y 3.52-3.65, 5 Ho 3.52-3.65, 4 La 3.68-3.69
15 Ho 0.7500 0.2500 0.6171  2 Y 3.52, 6 Ho 3.52-3.65, 4 La 3.67
16 Ho 0.7500 0.4999 0.3835  3 Y 3.52-3.65, 5 Ho 3.52-3.65, 4 La 3.68-3.69

=====

[6]
DFT (PBE-GGA) results for a geometry-optimized LaYHo structure.

## Properties
For the distance to the lowest polymorph of the same formula, the calculation gives 4 meV/atom. For the total energy, the calculation gives -5.29 eV/atom.

abc: 8.0637 8.0637 8.0637
angles: 154.01 154.01 37.08
Last column: nearest neighbours and their distance in Å.
Atoms (fractional coordinates):
1 La 0.0000 0.0000 0.0000  4 Ho 3.63, 4 La 3.63, 4 Y 3.67
2 Y 0.6714 0.6714 0.0000  4 Ho 3.55, 4 Y 3.63, 4 La 3.67
3 Ho 0.3323 0.3323 0.0000  4 Y 3.55, 4 La 3.63, 4 Ho 3.63

=====

[7]
DFT (PBE-GGA) results for a geometry-optimized LaY3Ho7 structure.

## Properties
For the distance to the lowest polymorph of the same formula, the calculation gives 106 meV/atom. For the total energy, the calculation gives -4.86 eV/atom.

abc: 8.4280 8.4280 5.8049
angles: 110.09 110.09 83.08
Last column: nearest neighbours and their distance in Å.
Atoms (fractional coordinates):
1 La 0.0000 0.0000 0.0000  2 Ho 2.90
2 Y 0.2952 0.7048 0.5000  5 Ho 3.27-3.44
3 Y 0.5000 0.5000 0.0000  4 Ho 3.19
4 Y 0.7048 0.2952 0.5000  5 Ho 3.27-3.44
5 Ho 0.0000 0.0000 0.5000  2 La 2.90
6 Ho 0.0970 0.4821 0.7896  2 Y 3.19-3.44, 3 Ho 3.29-3.56
7 Ho 0.2919 0.2919 0.2923  2 Y 3.27, 1 La 3.27, 6 Ho 3.56-3.61
8 Ho 0.4821 0.0970 0.7896  2 Y 3.19-3.44, 3 Ho 3.29-3.56
9 Ho 0.5179 0.9030 0.2104  2 Y 3.19-3.44, 3 Ho 3.29-3.56
10 Ho 0.7081 0.7081 0.7077  2 Y 3.27, 1 La 3.27, 6 Ho 3.56-3.61
11 Ho 0.9030 0.5179 0.2104  2 Y 3.19-3.44, 3 Ho 3.29-3.56

=====

[8]
DFT (PBE-GGA) results for a geometry-optimized LaYHo structure.

## Properties
For the distance to the lowest polymorph of the same formula, the calculation gives 0 meV/atom. For the total energy, the calculation gives -5.30 eV/atom.

abc: 3.6163 3.6163 17.8193
angles: 95.82 95.82 60.00
Last column: nearest neighbours and their distance in Å.
Atoms (fractional coordinates):
1 La 0.1985 0.1985 0.0924  3 Ho 3.59-3.60, 9 La 3.62-3.89
2 La 0.8015 0.8015 0.9076  3 Ho 3.59-3.60, 9 La 3.62-3.89
3 Y 0.3057 0.3057 0.4176  3 Ho 3.51-3.52, 9 Y 3.58-3.62
4 Y 0.6943 0.6943 0.5824  3 Ho 3.51-3.52, 9 Y 3.58-3.62
5 Ho 0.0804 0.0804 0.7422  3 Y 3.51-3.52, 3 La 3.59-3.60, 6 Ho 3.62
6 Ho 0.9196 0.9196 0.2578  3 Y 3.51-3.52, 3 La 3.59-3.60, 6 Ho 3.62

=====

[9]
DFT (PBE-GGA) results for a geometry-optimized LaY8Ho6 structure.

## Properties
For the distance to the lowest polymorph of the same formula, the calculation gives 0 meV/atom. For the total energy, the calculation gives -5.47 eV/atom.

abc: 8.6638 8.6638 8.6638
angles: 62.87 62.87 62.87
Last column: nearest neighbours and their distance in Å.
Atoms (fractional coordinates):
1 La 0.0000 0.0000 0.0000  6 Ho 3.47, 6 Y 3.54
2 Y 0.1110 0.7470 0.7179  3 Ho 3.40-3.76, 5 Y 3.41-3.43, 1 La 3.54
3 Y 0.2530 0.2821 0.8890  3 Ho 3.40-3.76, 5 Y 3.41-3.43, 1 La 3.54
4 Y 0.2821 0.8890 0.2530  3 Ho 3.40-3.76, 5 Y 3.41-3.43, 1 La 3.54
5 Y 0.4228 0.4228 0.4228  4 Y 3.20-3.42, 3 Ho 3.36
6 Y 0.5772 0.5772 0.5772  4 Y 3.20-3.42, 3 Ho 3.36
7 Y 0.7179 0.1110 0.7470  3 Ho 3.40-3.76, 5 Y 3.41-3.43, 1 La 3.54
8 Y 0.7470 0.7179 0.1110  3 Ho 3.40-3.76, 5 Y 3.41-3.43, 1 La 3.54
9 Y 0.8890 0.2530 0.2821  3 Ho 3.40-3.76, 5 Y 3.41-3.43, 1 La 3.54
10 Ho 0.1060 0.2347 0.5362  4 Y 3.36-3.76, 4 Ho 3.46-3.77, 1 La 3.47
11 Ho 0.2347 0.5362 0.1060  4 Y 3.36-3.76, 4 Ho 3.46-3.77, 1 La 3.47
12 Ho 0.4638 0.8940 0.7653  4 Y 3.36-3.76, 4 Ho 3.46-3.77, 1 La 3.47
13 Ho 0.5362 0.1060 0.2347  4 Y 3.36-3.76, 4 Ho 3.46-3.77, 1 La 3.47
14 Ho 0.7653 0.4638 0.8940  4 Y 3.36-3.76, 4 Ho 3.46-3.77, 1 La 3.47
15 Ho 0.8940 0.7653 0.4638  4 Y 3.36-3.76, 4 Ho 3.46-3.77, 1 La 3.47

=====

[10]
DFT (PBE-GGA) results for a geometry-optimized LaY5Ho5 structure.

## Properties
For the total energy, the calculation gives -5.18 eV/atom.

abc: 6.1077 6.1077 11.5315
angles: 90.00 90.00 120.00
Last column: nearest neighbours and their distance in Å.
Atoms (fractional coordinates):
1 La 0.0000 0.0000 0.0000  5 Y 3.53-3.80
2 Y 0.0000 0.0000 0.3294  9 Ho 3.60-3.63, 1 La 3.80, 4 Y 3.93-4.02
3 Y 0.0000 0.0000 0.6706  9 Ho 3.60-3.63, 1 La 3.80, 4 Y 3.93-4.02
4 Y 0.3333 0.6667 0.1619  3 Ho 3.72, 7 Y 3.73-4.02, 3 La 3.99
5 Y 0.3333 0.6667 0.8381  3 Ho 3.72, 7 Y 3.73-4.02, 3 La 3.99
6 Y 0.6667 0.3333 0.0000  2 Ho 3.06
7 Ho 0.0017 0.5009 0.5000  6 Ho 3.04-3.23
8 Ho 0.4991 0.5009 0.5000  6 Ho 3.04-3.23
9 Ho 0.4991 0.9983 0.5000  6 Ho 3.04-3.23
10 Ho 0.6667 0.3333 0.2655  1 Y 3.06, 3 Ho 3.23
11 Ho 0.6667 0.3333 0.7345  1 Y 3.06, 3 Ho 3.23

=====

[11]
DFT (PBE-GGA) results for a geometry-optimized La8YHo5 structure.

## Properties
For the total energy, the calculation gives -4.67 eV/atom.

abc: 8.6670 8.6670 8.6670
angles: 111.11 111.11 106.23
Last column: nearest neighbours and their distance in Å.
Atoms (fractional coordinates):
1 La 0.0771 0.3395 0.6017  5 Ho 3.44-3.73, 4 La 3.58-3.83
2 La 0.1630 0.4338 0.0905  4 Ho 3.24-3.55, 1 Y 3.25
3 La 0.3433 0.0725 0.9095  4 Ho 3.24-3.55, 1 Y 3.25
4 La 0.5247 0.9229 0.2624  5 Ho 3.44-3.73, 4 La 3.58-3.83
5 La 0.5662 0.6567 0.7292  4 Ho 3.24-3.55, 1 Y 3.25
6 La 0.6605 0.2622 0.7376  5 Ho 3.44-3.73, 4 La 3.58-3.83
7 La 0.7378 0.4753 0.3983  5 Ho 3.44-3.73, 4 La 3.58-3.83
8 La 0.9275 0.8370 0.2708  4 Ho 3.24-3.55, 1 Y 3.25
9 Y 0.2500 0.7500 0.5000  4 La 3.25
10 Ho 0.0338 0.7265 0.9052  8 La 3.40-3.73, 2 Ho 3.49
11 Ho 0.2735 0.1787 0.3073  8 La 3.40-3.73, 2 Ho 3.49
12 Ho 0.5000 0.5000 0.0000  8 La 3.24-3.44
13 Ho 0.8213 0.1286 0.0948  8 La 3.40-3.73, 2 Ho 3.49
14 Ho 0.8714 0.9662 0.6927  8 La 3.40-3.73, 2 Ho 3.49

=====

[12]
DFT (PBE-GGA) results for a geometry-optimized La5Y3Ho structure.

## Properties
For the distance to the lowest polymorph of the same formula, the calculation gives 0 meV/atom. For the total energy, the calculation gives -5.16 eV/atom.

abc: 10.0917 10.0917 11.6068
angles: 114.01 114.01 37.85
Last column: nearest neighbours and their distance in Å.
Atoms (fractional coordinates):
1 La 0.0362 0.6316 0.2892  4 La 3.51-3.91, 4 Y 3.52-3.63, 1 Ho 3.58
2 La 0.0945 0.9055 0.7500  1 Ho 3.08, 2 La 3.32
3 La 0.1431 0.5106 0.6391  4 La 3.32-3.58, 1 Ho 3.60, 1 Y 3.62
4 La 0.3684 0.9638 0.2108  4 La 3.51-3.91, 4 Y 3.52-3.63, 1 Ho 3.58
5 La 0.4894 0.8569 0.8609  4 La 3.32-3.58, 1 Ho 3.60, 1 Y 3.62
6 La 0.5106 0.1431 0.1391  4 La 3.32-3.58, 1 Ho 3.60, 1 Y 3.62
7 La 0.6316 0.0362 0.7892  4 La 3.51-3.91, 4 Y 3.52-3.63, 1 Ho 3.58
8 La 0.8569 0.4894 0.3609  4 La 3.32-3.58, 1 Ho 3.60, 1 Y 3.62
9 La 0.9055 0.0945 0.2500  1 Ho 3.08, 2 La 3.32
10 La 0.9638 0.3684 0.7108  4 La 3.51-3.91, 4 Y 3.52-3.63, 1 Ho 3.58
11 Y 0.0557 0.6257 0.9850  1 Ho 3.43, 2 Y 3.51-3.65, 5 La 3.52-3.84
12 Y 0.3743 0.9443 0.5150  1 Ho 3.43, 2 Y 3.51-3.65, 5 La 3.52-3.84
13 Y 0.5000 0.5000 0.0000  2 Ho 3.01
14 Y 0.5000 0.5000 0.5000  2 Ho 3.01
15 Y 0.6257 0.0557 0.4850  1 Ho 3.43, 2 Y 3.51-3.65, 5 La 3.52-3.84
16 Y 0.9443 0.3743 0.0150  1 Ho 3.43, 2 Y 3.51-3.65, 5 La 3.52-3.84
17 Ho 0.3765 0.6235 0.2500  2 Y 3.01, 1 La 3.08
18 Ho 0.6235 0.3765 0.7500  2 Y 3.01, 1 La 3.08

=====

no.,ΔH_f (0 K) (eV per atom)
1,0.284
2,0.127
3,0.280
4,0.030
5,0.030
6,0.031
7,0.260
8,0.027
9,0.139
10,0.289
11,0.247
12,0.241